VASP calculation (GGA-PBE) on a relaxed structure of CsGdB4.

- Distance to the lowest polymorph of the same formula: 0.386 eV/atom
- Density: 6.52 g/cm3
- Total magnetic moment: 0.0 μB/cell
- Space group: Immm (71)

Cell lengths 5.7609, 5.7609, 5.7609 Å; angles 147.65, 122.85, 67.22 degrees
Fractional coordinates of all 6 atoms:
1 B 0.5774 0.2444 0.3330
2 B 0.0886 0.7556 0.3330
3 B 0.9114 0.2444 0.6670
4 B 0.4226 0.7556 0.6670
5 Cs 0.0000 0.0000 0.0000
6 Gd 0.5000 0.5000 0.0000